Here is a relaxed structure of Bi2BRu2 from Alexandria. Energies are from PBE.

Properties
* space-group type: No. 127
* size of the total moment: 0.00 μB per formula unit
* ΔH_f (0 K): 0.564 eV per atom

a b c (Å): 5.984 5.984 5.119
angles (deg): 90.00 90.00 90.00
Element x y z (fractional)
Ru 0.663 0.163 0.000
Ru 0.837 0.663 0.000
Ru 0.163 0.337 0.000
Ru 0.337 0.837 0.000
Bi 0.815 0.315 0.500
Bi 0.685 0.815 0.500
Bi 0.315 0.185 0.500
Bi 0.185 0.685 0.500
B 0.500 0.500 0.000
B 0.000 0.000 0.000

Here is a relaxed structure of Bi3BRu from Alexandria. Energies are from PBE.

Properties
* space-group type: No. 221
* size of the total moment: 0.00 μB per formula unit
* ΔH_f (0 K): 1.206 eV per atom

a b c (Å): 4.896 4.896 4.896
angles (deg): 90.00 90.00 90.00
Element x y z (fractional)
Bi 0.500 0.000 0.000
Bi 0.000 0.500 0.000
Bi 0.000 0.000 0.500
B 0.000 0.000 0.000
Ru 0.500 0.500 0.500

Here is a relaxed structure of BiBRu3 from Alexandria. Energies are from PBE.

Properties
* space-group type: No. 221
* size of the total moment: 0.00 μB per formula unit
* ΔH_f (0 K): 0.150 eV per atom

a b c (Å): 4.189 4.189 4.189
angles (deg): 90.00 90.00 90.00
Element x y z (fractional)
Ru 0.000 0.000 0.500
Ru 0.000 0.500 0.000
Ru 0.500 0.000 0.000
B 0.000 0.000 0.000
Bi 0.500 0.500 0.500

Number 1: E above lowest polymorph 0 meV per atom. Number 2: E above lowest polymorph 0 meV per atom. Number 3: E above lowest polymorph 0 meV per atom.